[1]
GGA-PBEsol Ba3ZrW, optimized geometry; ΔE to the lowest computed polymorph = 0 meV per atom; ΔE_f = 1.54 eV per atom; symmetry = Pm-3m
1.0
-0.820 -3.671 4.521
1.898 -4.485 -3.297
5.506 0.999 1.810
Ba Zr W
3 1 1
Direct
0.500 0.000 0.000
0.000 0.000 0.500
0.000 0.500 0.000
0.500 0.500 0.500
0.000 0.000 0.000

***

[2]
GGA-PBEsol YMgCu2, optimized geometry; ΔE_f = -0.11 eV per atom; symmetry = P4/mmm
1.0
3.286 0.000 0.000
0.000 3.286 0.000
0.000 0.000 6.508
Y Mg Cu
1 1 2
Direct
0.500 0.500 0.500
0.500 0.500 0.000
0.000 0.000 0.775
0.000 0.000 0.225

***

[3]
GGA-PBEsol ZnReP4, optimized geometry; ΔE_f = 0.86 eV per atom; symmetry = F-43m
1.0
-2.024 0.251 -4.446
-3.364 -3.287 -1.345
-4.678 1.346 -0.485
P Zn Re
4 1 1
Direct
0.375 0.375 0.875
0.875 0.375 0.375
0.375 0.875 0.375
0.375 0.375 0.375
0.000 0.000 0.000
0.750 0.750 0.750

***

[4]
GGA-PBEsol W3CO, optimized geometry; uncorrected formation energy = 22.00 kcal/mol of atoms; symmetry = Pm-3m
1.0
4.068 0.000 0.000
0.000 4.068 0.000
0.000 0.000 4.068
W C O
3 1 1
Direct
0.500 0.000 0.000
0.000 0.000 0.500
0.000 0.500 0.000
0.000 0.000 0.000
0.500 0.500 0.500

***

[5]
GGA-PBEsol Mg5Tc, optimized geometry; ΔE to the lowest computed polymorph = 0 meV per atom; ΔE_f = 0.50 eV per atom; symmetry = F-43m
1.0
-2.742 4.469 -1.636
-5.306 0.592 1.290
-1.527 3.784 3.676
Mg Tc
5 1
Direct
0.626 0.626 0.626
0.626 0.122 0.626
0.122 0.626 0.626
0.250 0.250 0.250
0.626 0.626 0.122
0.000 0.000 0.000

***

[6]
GGA-PBEsol K2HgTe, optimized geometry; uncorrected formation energy = -16.79 kcal/mol of atoms; symmetry = Fm-3m
1.0
-3.614 4.482 -0.002
-5.684 -0.885 0.238
-2.925 1.342 4.774
Hg Te K
1 1 2
Direct
0.500 0.500 0.500
0.000 0.000 0.000
0.250 0.250 0.250
0.750 0.750 0.750

***

[7]
GGA-PBEsol Mg2ScCd, optimized geometry; ΔE_f = -0.13 eV per atom; symmetry = Amm2
1.0
3.147 0.000 -0.020
0.000 4.720 0.000
-1.538 0.000 5.881
Mg Sc Cd
2 1 1
Direct
0.192 0.000 0.008
0.801 0.500 0.228
0.453 0.000 0.530
0.054 0.500 0.734

***

[8]
GGA-PBEsol BPdSe3, optimized geometry; uncorrected formation energy = 16.31 kcal/mol of atoms; symmetry = Pm-3m
1.0
4.362 0.000 0.000
0.000 4.362 0.000
0.000 0.000 4.362
Pd Se B
1 3 1
Direct
0.500 0.500 0.500
0.000 0.500 0.000
0.000 0.000 0.500
0.500 0.000 0.000
0.000 0.000 0.000

***

[9]
GGA-PBEsol NaNiO2, optimized geometry; uncorrected formation energy = -25.99 kcal/mol of atoms; symmetry = C2/m
1.0
2.834 0.000 0.000
1.417 2.672 0.011
1.417 0.706 5.150
Ni Na O
1 1 2
Direct
0.000 0.500 0.500
0.500 0.000 0.000
0.286 0.735 0.693
0.714 0.265 0.307

***

[10]
GGA-PBEsol KLiHg2, optimized geometry; ΔE to the lowest computed polymorph = 31 meV per atom; ΔE_f = -0.24 eV per atom; symmetry = Cm
1.0
-4.194 -1.352 2.035
2.932 -3.341 -1.965
2.211 1.968 5.863
Li Hg K
1 2 1
Direct
0.684 0.368 0.053
0.001 0.001 0.002
0.311 0.623 0.934
0.504 0.007 0.510

***

[11]
GGA-PBEsol Zr2InC, optimized geometry; ΔE to the lowest computed polymorph = 1515 meV per atom; ΔE_f = 0.74 eV per atom; symmetry = Fm-3m
1.0
-3.166 -1.148 -3.164
-0.666 -4.439 -1.097
-3.886 -2.141 1.291
Zr In C
2 1 1
Direct
0.250 0.250 0.250
0.750 0.750 0.750
0.500 0.500 0.500
0.000 0.000 0.000

***

[12]
GGA-PBEsol MnCo, optimized geometry; ΔE_f = 0.06 eV per atom; symmetry = P4/nmm
1.0
-1.213 1.480 -1.464
-1.772 0.155 1.625
3.142 5.451 2.907
Co Mn
2 2
Direct
0.500 0.000 0.129
0.000 0.500 0.871
0.500 0.000 0.633
0.000 0.500 0.367